[1]
## Ba2PaS5 (PBE-GGA)

Data for a relaxed structure of Ba2PaS5.

Computed properties:
The density of states at the Fermi level is 0.56 states/eV per cell. As for the final energy: -5.8565 eV/atom.

Unit cell a=5.556 b=8.243 c=13.812 alpha=90.00 beta=90.00 gamma=109.70
Element x y z (fractional)
Ba 0.857 0.715 0.430
Ba 0.857 0.715 0.070
Ba 0.143 0.285 0.570
Ba 0.143 0.285 0.930
Pa 0.809 0.618 0.750
Pa 0.191 0.382 0.250
S 0.948 0.896 0.856
S 0.948 0.896 0.644
S 0.285 0.570 0.405
S 0.285 0.570 0.095
S 0.722 0.443 0.250
S 0.278 0.557 0.750
S 0.715 0.430 0.595
S 0.715 0.430 0.905
S 0.052 0.104 0.144
S 0.052 0.104 0.356

[2]
## Pr6TePb2 (PBE-GGA)

Data for a relaxed structure of Pr6TePb2.

Computed properties:
The density of states at the Fermi level is 10.21 states/eV per cell. As for the final energy: -4.9566 eV/atom.

Unit cell a=4.481 b=8.760 c=8.759 alpha=120.00 beta=90.00 gamma=90.00
Element x y z (fractional)
Pr 0.500 0.597 0.000
Pr 0.500 0.403 0.403
Pr 0.500 0.000 0.597
Pr 0.000 0.265 0.000
Pr 0.000 0.735 0.735
Pr 0.000 0.000 0.265
Te 0.500 0.000 0.000
Pb 0.000 0.333 0.667
Pb 0.000 0.667 0.333

[3]
## Th2GeRh3 (PBE-GGA)

Data for a relaxed structure of Th2GeRh3.

Computed properties:
The formation energy from the elements is -75.3 kJ/mol of atoms. The density of states at the Fermi level is 9.89 states/eV per cell. As for the final energy: -7.6993 eV/atom.

Unit cell a=5.740 b=5.740 c=8.854 alpha=111.03 beta=111.03 gamma=83.85
Element x y z (fractional)
Th 0.750 0.250 0.500
Th 0.749 0.251 0.000
Th 0.250 0.750 0.500
Th 0.251 0.749 0.000
Ge 0.666 0.666 0.332
Ge 0.334 0.334 0.668
Rh 0.827 0.827 0.168
Rh 0.659 0.659 0.832
Rh 0.173 0.173 0.832
Rh 0.341 0.341 0.168
Rh 0.176 0.176 0.352
Rh 0.824 0.824 0.648

[4]
## Ac5PmSm (PBE-GGA)

Data for a relaxed structure of Ac5PmSm.

Computed properties:
The formation energy from the elements is 23.1 kJ/mol of atoms. The density of states at the Fermi level is 10.15 states/eV per cell. As for the final energy: -4.0480 eV/atom.

Unit cell a=5.671 b=5.671 c=9.590 alpha=90.00 beta=90.00 gamma=90.00
Element x y z (fractional)
Ac 0.500 0.500 0.000
Ac 0.500 0.000 0.278
Ac 0.000 0.500 0.278
Ac 0.500 0.000 0.722
Ac 0.000 0.500 0.722
Pm 0.000 0.000 0.500
Sm 0.000 0.000 0.000

[5]
## NiAgAu (PBE-GGA)

Data for a relaxed structure of NiAgAu.

Computed properties:
The formation energy from the elements is 31.2 kJ/mol of atoms. The density of states at the Fermi level is 0.94 states/eV per cell. As for the final energy: -3.6471 eV/atom.

Unit cell a=4.225 b=4.225 c=4.225 alpha=60.00 beta=60.00 gamma=60.00
Element x y z (fractional)
Ag 0.000 0.000 0.000
Au 0.500 0.500 0.500
Ni 0.250 0.250 0.250

[6]
## Ac2MgAs (PBE-GGA)

Data for a relaxed structure of Ac2MgAs.

Computed properties:
The formation energy from the elements is -38.6 kJ/mol of atoms. The density of states at the Fermi level is 5.00 states/eV per cell. As for the final energy: -4.0154 eV/atom.

Unit cell a=5.638 b=5.638 c=5.638 alpha=60.00 beta=60.00 gamma=60.00
Element x y z (fractional)
Mg 0.000 0.000 0.000
Ac 0.250 0.250 0.250
Ac 0.750 0.750 0.750
As 0.500 0.500 0.500